1.
Here is a relaxed structure of Lu5Hg from the Alexandria database. Energies are from PBE-GGA.

Properties
- Density of states at the Fermi level: 7.9 states/eV/cell
- ΔH_f (0 K): -0.5 eV/f.u.

a = 4.7152 Å, b = 4.7200 Å, c = 7.7118 Å
α = 107.82°, β = 90.00°, γ = 90.00°
Fractional positions:
1 Lu 0.5000 0.8318 0.6635
2 Lu 0.0000 0.6626 0.3252
3 Lu 0.5000 0.5000 0.0000
4 Lu 0.0000 0.3374 0.6748
5 Lu 0.5000 0.1682 0.3365
6 Hg 0.0000 0.0000 0.0000

***

2.
Here is a relaxed structure of ZrTi2NbC from the Alexandria database. Energies are from PBE-GGA.

Properties
- Density of states at the Fermi level: 5.3 states/eV/cell
- ΔH_f (0 K): -1.2 eV/f.u.

a = 4.2598 Å, b = 4.2598 Å, c = 4.4888 Å
α = 90.00°, β = 90.00°, γ = 90.00°
Fractional positions:
1 Nb 0.0000 0.0000 0.5000
2 C 0.0000 0.0000 0.0000
3 Zr 0.5000 0.5000 0.5000
4 Ti 0.0000 0.5000 0.0000
5 Ti 0.5000 0.0000 0.0000

***

Please write out number 1 again, unchanged.
Here is a relaxed structure of Lu5Hg from the Alexandria database. Energies are from PBE-GGA.

Properties
- Density of states at the Fermi level: 7.9 states/eV/cell
- ΔH_f (0 K): -0.5 eV/f.u.

a = 4.7152 Å, b = 4.7200 Å, c = 7.7118 Å
α = 107.82°, β = 90.00°, γ = 90.00°
Fractional positions:
1 Lu 0.5000 0.8318 0.6635
2 Lu 0.0000 0.6626 0.3252
3 Lu 0.5000 0.5000 0.0000
4 Lu 0.0000 0.3374 0.6748
5 Lu 0.5000 0.1682 0.3365
6 Hg 0.0000 0.0000 0.0000